Te2RhC2: optimized geometry, PBE.

The structure belongs to space group I4/mmm (No. 139); the cell edges are 5.496, 5.496 and 5.618 Å and the angles 90.00°, 90.00° and 90.00°. The distinct sites, in fractional coordinates, are Te at (0.000, 0.500, 0.250), Rh at (0.000, 0.000, 0.000) and C at (0.000, 0.000, 0.385).

The value obtained for the formation energy without anion corrections is 1.12 eV/atom. The calculation puts the energy above the most stable polymorph in this dataset at 0.000 eV per atom. As for the total magnetization: 0.00 μB per formula unit.